# 1
Below is an optimized crystal structure of HfNiIrPb, with properties calculated at the PBE-GGA level.

Results
Symmetry: No. 216
Total DFT energy (no corrections) in eV/atom: -6.98
Total moment in μB/cell: 0.00

Unit cell a=4.6375 b=4.6375 c=4.6375 alpha=60.00 beta=60.00 gamma=60.00
Element x y z (fractional)
Pb  0.0000  0.0000  0.0000
Hf  0.2500  0.2500  0.2500
Ni  0.7500  0.7500  0.7500
Ir  0.5000  0.5000  0.5000

=====

# 2
Below is an optimized crystal structure of HfSiNiIr, with properties calculated at the PBE-GGA level.

Results
Symmetry: No. 216
Total DFT energy (no corrections) in eV/atom: -7.74
Total moment in μB/cell: 0.05

Unit cell a=4.3970 b=4.3970 c=4.3970 alpha=60.00 beta=60.00 gamma=60.00
Element x y z (fractional)
Ir  0.5000  0.5000  0.5000
Hf  0.2500  0.2500  0.2500
Si  0.0000  0.0000  0.0000
Ni  0.7500  0.7500  0.7500